# ZrNb2Ru (PBE-GGA, optimized geometry)
data_ZrNb2Ru
_space_group_name_H-M_alt 'P 4/m m m'
_space_group_IT_number 123
_space_group_name_Hall '-P 4 2'
_cell_length_a 3.2309
_cell_length_b 3.2309
_cell_length_c 6.9512
_cell_angle_alpha 90.00
_cell_angle_beta 90.00
_cell_angle_gamma 90.00
loop_
_atom_site_label
_atom_site_type_symbol
_atom_site_fract_x
_atom_site_fract_y
_atom_site_fract_z
Zr1 Zr 0.0000 0.0000 0.0000
Nb1 Nb 0.5000 0.5000 0.2727
Ru1 Ru 0.0000 0.0000 0.5000
# Size of the total moment, μB/f.u.: 0.000
# ΔH_f (0 K), eV per atom: -0.12
# Crystal system: tetragonal